Entry 1:
First-principles (PBE) data for a relaxed structure of LiTb2Ga4Cu3, as listed in the Alexandria database.

Results
DFT formation energy: -413 meV per atom
Crystal system: tetragonal
Electronic total energy: -39.701 eV for the cell shown
Volume: 176.0 Å³/cell

a b c (Å): 4.133 4.133 10.305
angles (deg): 90.00 90.00 90.00
Element x y z (fractional)
Ga 0.500 0.500 0.000
Ga 0.000 0.000 0.000
Ga 0.500 0.000 0.636
Ga 0.000 0.500 0.364
Cu 0.500 0.000 0.867
Cu 0.000 0.500 0.133
Cu 0.000 0.000 0.500
Li 0.500 0.500 0.500
Tb 0.000 0.500 0.754
Tb 0.500 0.000 0.246

=====

Entry 2:
First-principles (PBE) data for a relaxed structure of Tb2Cd2In, as listed in the Alexandria database.

Results
DFT formation energy: -185 meV per atom
Crystal system: monoclinic
Electronic total energy: -14.753 eV for the cell shown
Volume: 141.0 Å³/cell

a b c (Å): 7.717 7.717 5.944
angles (deg): 47.12 47.12 34.61
Element x y z (fractional)
Cd 0.413 0.413 0.471
Cd 0.587 0.587 0.529
In 0.000 0.000 0.000
Tb 0.711 0.711 0.805
Tb 0.289 0.289 0.195

=====

Entry 3:
First-principles (PBE) data for a relaxed structure of AlFe2CoAg, as listed in the Alexandria database.

Results
DFT formation energy: 2003 meV per atom
Crystal system: tetragonal
Electronic total energy: -20.612 eV for the cell shown
Volume: 95.5 Å³/cell

a b c (Å): 4.574 4.566 4.574
angles (deg): 90.00 90.00 90.00
Last column: magnetic moment on the atom in μB.
Element x y z (fractional)
Al 0.500 0.500 0.500  -0.01
Fe 0.500 0.000 0.000  -0.14
Fe 0.000 0.000 0.500  0.06
Co 0.000 0.500 0.000  1.93
Ag 0.000 0.000 0.000  0.04

=====

Entry 4:
First-principles (PBE) data for a relaxed structure of SrSmNp2O8, as listed in the Alexandria database.

Results
Crystal system: tetragonal
Formation energy from raw total energies: -2.99 eV per atom
Electronic total energy: -107.775 eV for the cell shown
Volume: 159.5 Å³/cell

a b c (Å): 5.478 5.478 6.576
angles (deg): 114.62 114.62 90.00
Last column: magnetic moment on the atom in μB.
Element x y z (fractional)
O 0.880 0.402 0.246  -0.09
O 0.366 0.844 0.246  -0.09
O 0.156 0.120 0.754  -0.09
O 0.879 0.844 0.245  -0.09
O 0.598 0.634 0.754  -0.09
O 0.366 0.401 0.245  -0.09
O 0.156 0.634 0.755  -0.09
O 0.599 0.121 0.755  -0.09
Np 0.500 0.500 0.000  1.94
Np 0.250 0.750 0.500  1.80
Sm 0.000 0.000 0.000  0.00
Sr 0.750 0.250 0.500  0.00

=====

Entry 5:
First-principles (PBE) data for a relaxed structure of Sr2HoHg3, as listed in the Alexandria database.

Results
DFT formation energy: -505 meV per atom
Crystal system: tetragonal
Electronic total energy: -11.879 eV for the cell shown
Volume: 177.3 Å³/cell

a b c (Å): 3.868 3.868 11.848
angles (deg): 90.00 90.00 90.00
Element x y z (fractional)
Hg 0.000 0.000 0.357
Hg 0.000 0.000 0.000
Hg 0.000 0.000 0.643
Sr 0.500 0.500 0.175
Sr 0.500 0.500 0.825
Ho 0.500 0.500 0.500

=====

Entry 6:
First-principles (PBE) data for a relaxed structure of U2CdIn9, as listed in the Alexandria database.

Results
DFT formation energy: 56 meV per atom
Crystal system: tetragonal
Electronic total energy: -47.466 eV for the cell shown
Volume: 303.7 Å³/cell

a b c (Å): 4.622 4.622 14.213
angles (deg): 90.00 90.00 90.00
Last column: magnetic moment on the atom in μB.
Element x y z (fractional)
In 0.500 0.500 0.000  0.01
In 0.500 0.500 0.662  0.02
In 0.000 0.500 0.169  0.01
In 0.500 0.500 0.338  0.02
In 0.000 0.500 0.500  0.02
In 0.000 0.500 0.831  0.01
In 0.500 0.000 0.831  0.01
In 0.500 0.000 0.169  0.01
In 0.500 0.000 0.500  0.02
U 0.000 0.000 0.336  2.53
U 0.000 0.000 0.664  2.53
Cd 0.000 0.000 0.000  0.02

=====

Entry 7:
First-principles (PBE) data for a relaxed structure of NdHo3Er12, as listed in the Alexandria database.

Results
DFT formation energy: 23 meV per atom
Crystal system: tetragonal
Electronic total energy: -72.892 eV for the cell shown
Volume: 493.2 Å³/cell

a b c (Å): 4.978 4.978 19.906
angles (deg): 90.00 90.00 90.00
Element x y z (fractional)
Er 0.000 0.500 0.624
Er 0.500 0.500 0.500
Er 0.500 0.000 0.127
Er 0.000 0.500 0.127
Er 0.000 0.500 0.376
Er 0.500 0.000 0.376
Er 0.500 0.500 0.000
Er 0.500 0.000 0.624
Er 0.500 0.500 0.748
Er 0.500 0.500 0.252
Er 0.500 0.000 0.873
Er 0.000 0.500 0.873
Ho 0.000 0.000 0.749
Ho 0.000 0.000 0.251
Ho 0.000 0.000 0.500
Nd 0.000 0.000 0.000

=====

Entry 8:
First-principles (PBE) data for a relaxed structure of Li4Ho3SbS8, as listed in the Alexandria database.

Results
Crystal system: trigonal
Formation energy from raw total energies: -1.55 eV per atom
Electronic total energy: -83.388 eV for the cell shown
Volume: 326.3 Å³/cell

a b c (Å): 7.811 7.652 7.808
angles (deg): 120.72 120.01 90.00
Element x y z (fractional)
S 0.251 0.751 0.502
S 0.251 0.249 0.000
S 0.250 0.251 0.500
S 0.749 0.249 0.498
S 0.750 0.749 0.500
S 0.749 0.751 0.000
S 0.749 0.249 0.000
S 0.251 0.751 0.000
Sb 0.000 0.500 0.000
Li 0.500 0.000 0.500
Li 0.000 0.000 0.500
Li 0.000 0.000 0.000
Li 0.500 0.000 0.000
Ho 0.500 0.500 0.000
Ho 0.000 0.500 0.500
Ho 0.500 0.500 0.500

=====

Entry 9:
First-principles (PBE) data for a relaxed structure of LiIn2Sn, as listed in the Alexandria database.

Results
DFT formation energy: -133 meV per atom
Crystal system: tetragonal
Electronic total energy: -11.928 eV for the cell shown
Volume: 96.2 Å³/cell

a b c (Å): 4.753 4.498 4.498
angles (deg): 90.00 90.00 90.00
Element x y z (fractional)
Li 0.500 0.500 0.500
Sn 0.500 0.000 0.000
In 0.000 0.500 0.000
In 0.000 0.000 0.500

=====

Entry 10:
First-principles (PBE) data for a relaxed structure of PmPr2Sn3Pt4, as listed in the Alexandria database.

Results
DFT formation energy: -885 meV per atom
Crystal system: tetragonal
Electronic total energy: -59.329 eV for the cell shown
Volume: 241.1 Å³/cell

a b c (Å): 4.633 4.633 11.232
angles (deg): 90.00 90.00 90.00
Element x y z (fractional)
Pt 0.000 0.000 0.000
Pt 0.500 0.000 0.646
Pt 0.000 0.500 0.354
Pt 0.500 0.500 0.000
Pm 0.500 0.500 0.500
Sn 0.500 0.000 0.877
Sn 0.000 0.500 0.123
Sn 0.000 0.000 0.500
Pr 0.000 0.500 0.784
Pr 0.500 0.000 0.216

=====

Entry 11:
First-principles (PBE) data for a relaxed structure of FeBrCl2, as listed in the Alexandria database.

Results
Crystal system: trigonal
Formation energy from raw total energies: -0.20 eV per atom
Electronic total energy: -14.612 eV for the cell shown
Energy above the most stable polymorph in this dataset: 0.437 eV/atom
Volume: 90.5 Å³/cell

a b c (Å): 9.560 9.560 9.560
angles (deg): 20.12 20.12 20.12
Last column: magnetic moment on the atom in μB.
Element x y z (fractional)
Cl 0.040 0.040 0.040  0.00
Cl 0.460 0.460 0.460  0.00
Fe 0.750 0.750 0.750  0.22
Br 0.250 0.250 0.250  0.24

=====

Entry 12:
First-principles (PBE) data for a relaxed structure of Co24Au5, as listed in the Alexandria database.

Results
DFT formation energy: 99 meV per atom
Crystal system: cubic
Electronic total energy: -184.069 eV for the cell shown
Volume: 353.6 Å³/cell

a b c (Å): 7.716 7.716 7.716
angles (deg): 109.47 109.47 109.47
Last column: magnetic moment on the atom in μB.
Element x y z (fractional)
Co 0.806 0.806 0.184  1.70
Co 0.378 0.194 0.000  1.70
Co 0.378 0.000 0.194  1.70
Co 0.000 0.392 0.673  1.75
Co 0.608 0.608 0.281  1.75
Co 0.622 0.816 0.622  1.70
Co 0.194 0.000 0.378  1.70
Co 0.816 0.622 0.622  1.70
Co 0.392 0.000 0.673  1.75
Co 0.000 0.378 0.194  1.70
Co 0.281 0.608 0.608  1.75
Co 0.673 0.392 0.000  1.75
Co 0.806 0.184 0.806  1.70
Co 0.608 0.281 0.608  1.75
Co 0.184 0.806 0.806  1.70
Co 0.327 0.719 0.327  1.75
Co 0.000 0.673 0.392  1.75
Co 0.194 0.378 0.000  1.70
Co 0.719 0.327 0.327  1.75
Co 0.622 0.622 0.816  1.70
Co 0.392 0.673 0.000  1.75
Co 0.327 0.327 0.719  1.75
Co 0.673 0.000 0.392  1.75
Co 0.000 0.194 0.378  1.70
Au 0.000 0.000 0.630  0.04
Au 0.000 0.000 0.000  0.02
Au 0.630 0.000 0.000  0.04
Au 0.000 0.630 0.000  0.04
Au 0.370 0.370 0.370  0.04